No. 1
# NdHoAg2 PBE-GGA relaxed
data_NdHoAg2
_space_group_name_H-M_alt 'F m -3 m'
_space_group_IT_number 225
_space_group_name_Hall '-F 4 2 3'
_cell_length_a 7.390
_cell_length_b 7.390
_cell_length_c 7.390
_cell_angle_alpha 90.00
_cell_angle_beta 90.00
_cell_angle_gamma 90.00
loop_
_atom_site_label
_atom_site_fract_x
_atom_site_fract_y
_atom_site_fract_z
Nd1 0.000 0.000 0.000
Ho1 0.000 0.000 0.500
Ag1 0.250 0.250 0.250
# - Formation enthalpy at 0 K: -0.279 eV per atom
# - ΔE to the lowest computed polymorph: 18 meV/atom

***

No. 2
# NdHo2Ag3 PBE-GGA relaxed
data_NdHo2Ag3
_space_group_name_H-M_alt 'P 4/m m m'
_space_group_IT_number 123
_space_group_name_Hall '-P 4 2'
_cell_length_a 3.638
_cell_length_b 3.638
_cell_length_c 11.146
_cell_angle_alpha 90.00
_cell_angle_beta 90.00
_cell_angle_gamma 90.00
loop_
_atom_site_label
_atom_site_fract_x
_atom_site_fract_y
_atom_site_fract_z
Nd1 0.000 0.000 0.000
Ho1 0.000 0.000 0.338
Ag1 0.500 0.500 0.182
Ag2 0.500 0.500 0.500
# - Formation enthalpy at 0 K: -0.308 eV per atom

***

No. 3
# Nd2Ho2Ag3 PBE-GGA relaxed
data_Nd2Ho2Ag3
_space_group_name_H-M_alt 'P -1'
_space_group_IT_number 2
_cell_length_a 5.115
_cell_length_b 5.127
_cell_length_c 8.983
_cell_angle_alpha 73.55
_cell_angle_beta 73.54
_cell_angle_gamma 60.09
loop_
_space_group_symop_operation_xyz
'x,y,z'
'-x,-y,-z'
loop_
_atom_site_label
_atom_site_fract_x
_atom_site_fract_y
_atom_site_fract_z
Nd1 0.125 0.127 0.120
Ho1 0.375 0.376 0.374
Ag1 0.000 0.000 0.500
Ag2 0.254 0.254 0.737
# - Formation enthalpy at 0 K: -0.142 eV per atom

***

No. 4
# NdHo5Ag6 PBE-GGA relaxed
data_NdHo5Ag6
_space_group_name_H-M_alt 'P 1 2/m 1'
_space_group_IT_number 10
_cell_length_a 5.171
_cell_length_b 7.229
_cell_length_c 8.183
_cell_angle_alpha 90.00
_cell_angle_beta 108.26
_cell_angle_gamma 90.00
loop_
_space_group_symop_operation_xyz
'x,y,z'
'-x,-y,-z'
'-x,y,-z'
'x,-y,z'
loop_
_atom_site_label
_atom_site_fract_x
_atom_site_fract_y
_atom_site_fract_z
Nd1 0.000 0.000 0.000
Ho1 0.000 0.500 0.000
Ho2 0.332 0.000 0.664
Ho3 0.334 0.500 0.669
Ag1 0.170 0.255 0.341
Ag2 0.500 0.260 0.000
# - Formation enthalpy at 0 K: -0.315 eV per atom

***

No. 5
# Nd3HoAg PBE-GGA relaxed
data_Nd3HoAg
_space_group_name_H-M_alt 'C 1 2/m 1'
_space_group_IT_number 12
_cell_length_a 11.616
_cell_length_b 8.608
_cell_length_c 7.982
_cell_angle_alpha 90.00
_cell_angle_beta 122.35
_cell_angle_gamma 90.00
loop_
_space_group_symop_operation_xyz
'x,y,z'
'-x,-y,-z'
'-x,y,-z'
'x,-y,z'
'x+1/2,y+1/2,z'
'-x+1/2,-y+1/2,-z'
'-x+1/2,y+1/2,-z'
'x+1/2,-y+1/2,z'
loop_
_atom_site_label
_atom_site_fract_x
_atom_site_fract_y
_atom_site_fract_z
Nd1 0.048 0.000 0.306
Nd2 0.181 0.294 0.694
Ho1 0.076 0.500 0.262
Ag1 0.226 0.500 0.052
# - Formation enthalpy at 0 K: 0.056 eV per atom

***

No. 6
# NdHo3Ag2 PBE-GGA relaxed
data_NdHo3Ag2
_space_group_name_H-M_alt 'C 1 2/m 1'
_space_group_IT_number 12
_cell_length_a 15.671
_cell_length_b 5.318
_cell_length_c 8.738
_cell_angle_alpha 90.00
_cell_angle_beta 115.65
_cell_angle_gamma 90.00
loop_
_space_group_symop_operation_xyz
'x,y,z'
'-x,-y,-z'
'-x,y,-z'
'x,-y,z'
'x+1/2,y+1/2,z'
'-x+1/2,-y+1/2,-z'
'-x+1/2,y+1/2,-z'
'x+1/2,-y+1/2,z'
loop_
_atom_site_label
_atom_site_fract_x
_atom_site_fract_y
_atom_site_fract_z
Nd1 0.137 0.000 0.193
Ho1 0.062 0.000 0.726
Ho2 0.119 0.500 0.528
Ho3 0.191 0.500 0.995
Ag1 0.013 0.500 0.167
Ag2 0.228 0.000 0.611
# - Formation enthalpy at 0 K: -0.127 eV per atom
# - ΔE to the lowest computed polymorph: 75 meV/atom

***

No. 7
# NdHo3Ag2 PBE-GGA relaxed
data_NdHo3Ag2
_space_group_name_H-M_alt 'P 4/m m m'
_space_group_IT_number 123
_space_group_name_Hall '-P 4 2'
_cell_length_a 3.623
_cell_length_b 3.623
_cell_length_c 12.329
_cell_angle_alpha 90.00
_cell_angle_beta 90.00
_cell_angle_gamma 90.00
loop_
_atom_site_label
_atom_site_fract_x
_atom_site_fract_y
_atom_site_fract_z
Nd1 0.000 0.000 0.000
Ho1 0.500 0.500 0.207
Ho2 0.500 0.500 0.500
Ag1 0.000 0.000 0.352
# - Formation enthalpy at 0 K: -0.202 eV per atom
# - ΔE to the lowest computed polymorph: 0 meV/atom

***

No. 8
# NdHo4Ag5 PBE-GGA relaxed
data_NdHo4Ag5
_space_group_name_H-M_alt 'P 4/m m m'
_space_group_IT_number 123
_space_group_name_Hall '-P 4 2'
_cell_length_a 3.611
_cell_length_b 3.611
_cell_length_c 18.579
_cell_angle_alpha 90.00
_cell_angle_beta 90.00
_cell_angle_gamma 90.00
loop_
_atom_site_label
_atom_site_fract_x
_atom_site_fract_y
_atom_site_fract_z
Nd1 0.000 0.000 0.000
Ho1 0.000 0.000 0.205
Ho2 0.000 0.000 0.402
Ag1 0.500 0.500 0.110
Ag2 0.500 0.500 0.303
Ag3 0.500 0.500 0.500
# - Formation enthalpy at 0 K: -0.317 eV per atom

***

N(E_F) (states/eV/f.u.)
3.71 3.10 8.09 5.98 6.62 6.65 6.64 4.48